(1)
Compound: K2AgSn
Source: Alexandria
Functional: PBE
Structure: relaxed

Unit cell a=12.379 b=12.379 c=9.132 alpha=47.33 beta=47.33 gamma=90.00
Fractional coordinates of all 8 atoms:
Ag: 0.250 0.750 0.500
Ag: 0.500 0.500 0.000
K: 0.375 0.542 0.750
K: 0.458 0.125 0.250
K: 0.292 0.625 0.250
K: 0.875 0.708 0.750
Sn: 0.750 0.250 0.500
Sn: 0.000 0.000 0.000

Computed properties:
E_form, eV per atom: 0.02
Crystal system: tetragonal
Symmetry: I-42d (122)

(2)
Compound: KAg2Sn2
Source: Alexandria
Functional: PBE
Structure: relaxed

Unit cell a=4.873 b=4.873 c=6.835 alpha=69.11 beta=69.11 gamma=90.00
Fractional coordinates of all 5 atoms:
Ag: 0.379 0.379 0.242
Ag: 0.621 0.621 0.758
Sn: 0.750 0.250 0.500
Sn: 0.250 0.750 0.500
K: 0.000 0.000 0.000

Computed properties:
E_form, eV per atom: -0.04
Crystal system: tetragonal
Symmetry: I4/mmm (139)
Distance to the lowest polymorph of the same formula, meV/atom: 56

(3)
Compound: KAg2Sn
Source: Alexandria
Functional: PBE
Structure: relaxed

Unit cell a=4.889 b=7.118 c=7.652 alpha=90.00 beta=90.00 gamma=110.08
Fractional coordinates of all 8 atoms:
K: 0.070 0.141 0.750
K: 0.930 0.859 0.250
Ag: 0.693 0.386 0.060
Ag: 0.307 0.614 0.940
Ag: 0.693 0.386 0.440
Ag: 0.307 0.614 0.560
Sn: 0.803 0.606 0.750
Sn: 0.197 0.394 0.250

Computed properties:
E_form, eV per atom: -0.07
Crystal system: orthorhombic
Symmetry: Cmcm (63)

(4)
Compound: K2AgSn2
Source: Alexandria
Functional: PBE
Structure: relaxed

Unit cell a=7.418 b=7.418 c=5.901 alpha=90.00 beta=90.00 gamma=90.00
Fractional coordinates of all 10 atoms:
Ag: 0.000 0.000 0.000
Ag: 0.500 0.500 0.000
Sn: 0.639 0.139 0.000
Sn: 0.361 0.861 0.000
Sn: 0.139 0.361 0.000
Sn: 0.861 0.639 0.000
K: 0.176 0.676 0.500
K: 0.676 0.824 0.500
K: 0.324 0.176 0.500
K: 0.824 0.324 0.500

Computed properties:
E_form, eV per atom: -0.09
Crystal system: tetragonal
Symmetry: P4/mbm (127)
Distance to the lowest polymorph of the same formula, meV/atom: 0

(5)
Compound: K2TaAgSn
Source: Alexandria
Functional: PBE
Structure: relaxed

Unit cell a=6.535 b=5.160 c=6.535 alpha=90.00 beta=90.00 gamma=90.00
Fractional coordinates of all 5 atoms:
Sn: 0.500 0.500 0.500
K: 0.500 0.000 0.000
K: 0.000 0.000 0.500
Ta: 0.000 0.000 0.000
Ag: 0.000 0.500 0.000

Computed properties:
E_form, eV per atom: 1.43
Crystal system: tetragonal
Symmetry: P4/mmm (123)

(6)
Compound: K2AgSnTe4
Source: Alexandria
Functional: PBE
Structure: relaxed

Unit cell a=7.582 b=7.155 c=7.155 alpha=73.69 beta=58.00 gamma=58.00
Fractional coordinates of all 8 atoms:
K: 0.500 0.500 0.500
K: 0.000 0.500 0.500
Ag: 0.000 0.000 0.000
Te: 0.568 0.000 0.348
Te: 0.916 0.000 0.652
Te: 0.084 0.348 0.000
Te: 0.432 0.652 0.000
Sn: 0.500 0.000 0.000

Computed properties:
Crystal system: tetragonal
Symmetry: I-42m (121)
Raw formation energy, meV/atom: -472

(7)
Compound: KAgSn2Te4
Source: Alexandria
Functional: PBE
Structure: relaxed

Unit cell a=4.520 b=7.483 c=16.640 alpha=90.00 beta=90.00 gamma=107.58
Fractional coordinates of all 16 atoms:
Sn: 0.631 0.263 0.434
Sn: 0.631 0.263 0.066
Sn: 0.369 0.737 0.566
Sn: 0.369 0.737 0.934
K: 0.117 0.235 0.750
K: 0.883 0.765 0.250
Te: 0.728 0.456 0.601
Te: 0.000 0.000 0.000
Te: 0.728 0.456 0.899
Te: 0.570 0.140 0.250
Te: 0.000 0.000 0.500
Te: 0.272 0.544 0.399
Te: 0.272 0.544 0.101
Te: 0.430 0.860 0.750
Ag: 0.821 0.643 0.750
Ag: 0.179 0.357 0.250

Computed properties:
Crystal system: orthorhombic
Symmetry: Cmcm (63)
Raw formation energy, meV/atom: -322

(8)
Compound: KAg2SnTe4
Source: Alexandria
Functional: PBE
Structure: relaxed

Unit cell a=7.713 b=7.167 c=7.167 alpha=80.90 beta=57.45 gamma=57.45
Fractional coordinates of all 8 atoms:
Ag: 0.500 0.751 0.249
Ag: 0.500 0.249 0.751
Te: 0.580 0.537 0.883
Te: 0.000 0.883 0.537
Te: 0.420 0.117 0.463
Te: 0.000 0.463 0.117
Sn: 0.000 0.500 0.500
K: 0.000 0.000 0.000

Computed properties:
Crystal system: orthorhombic
Symmetry: I222 (23)
Raw formation energy, meV/atom: -278

(9)
Compound: KAgSnTe3
Source: Alexandria
Functional: PBE
Structure: relaxed

Unit cell a=4.423 b=9.621 c=10.056 alpha=106.49 beta=90.00 gamma=90.00
Fractional coordinates of all 12 atoms:
Te: 0.250 0.759 0.445
Te: 0.750 0.241 0.555
Te: 0.250 0.122 0.882
Te: 0.750 0.878 0.118
Te: 0.250 0.540 0.836
Te: 0.750 0.460 0.164
K: 0.250 0.198 0.260
K: 0.750 0.802 0.740
Ag: 0.250 0.062 0.586
Ag: 0.750 0.938 0.414
Sn: 0.750 0.329 0.864
Sn: 0.250 0.671 0.136

Computed properties:
Crystal system: monoclinic
Symmetry: P2_1/m (11)
Raw formation energy, meV/atom: -383

(10)
Compound: KTi2AgSn
Source: Alexandria
Functional: PBE
Structure: relaxed

Unit cell a=5.061 b=5.466 c=5.061 alpha=90.00 beta=90.00 gamma=90.00
Fractional coordinates of all 5 atoms:
Ti: 0.000 0.000 0.500
Ti: 0.500 0.000 0.000
K: 0.000 0.500 0.000
Ag: 0.000 0.000 0.000
Sn: 0.500 0.500 0.500

Computed properties:
E_form, eV per atom: 1.00
Crystal system: tetragonal
Symmetry: P4/mmm (123)

(11)
Compound: K2Tl6AgSn
Source: Alexandria
Functional: PBE
Structure: relaxed

Unit cell a=7.923 b=7.923 c=13.895 alpha=73.44 beta=73.44 gamma=60.00
Fractional coordinates of all 20 atoms:
Tl: 0.222 0.222 0.915
Tl: 0.079 0.664 0.593
Tl: 0.641 0.222 0.915
Tl: 0.778 0.778 0.085
Tl: 0.921 0.336 0.407
Tl: 0.336 0.336 0.407
Tl: 0.778 0.359 0.085
Tl: 0.664 0.079 0.593
Tl: 0.336 0.921 0.407
Tl: 0.359 0.778 0.085
Tl: 0.222 0.641 0.915
Tl: 0.664 0.664 0.593
K: 0.721 0.721 0.838
K: 0.279 0.279 0.162
K: 0.104 0.104 0.689
K: 0.896 0.896 0.311
Ag: 0.000 0.000 0.000
Ag: 0.500 0.500 0.500
Sn: 0.426 0.426 0.721
Sn: 0.574 0.574 0.279

Computed properties:
E_form, eV per atom: 0.02
Crystal system: trigonal
Symmetry: R-3m (166)

(12)
Compound: KTlAgSn
Source: Alexandria
Functional: PBE
Structure: relaxed

Unit cell a=5.390 b=5.390 c=5.390 alpha=60.00 beta=60.00 gamma=60.00
Fractional coordinates of all 4 atoms:
K: 0.500 0.500 0.500
Ag: 0.250 0.250 0.250
Sn: 0.000 0.000 0.000
Tl: 0.750 0.750 0.750

Computed properties:
E_form, eV per atom: 0.04
Crystal system: cubic
Symmetry: F-43m (216)